# SiSbTe2H

An optimized crystal structure of SiSbTe2H (PBE-GGA, the Alexandria database).

Properties
Volume = 29.947 A^3/atom
Electronic total energy = -2.91 eV/atom
N(E_F) = 1.00 states/eV per atom

Cell lengths 5.347, 5.347, 5.238 Å; angles 90.00, 90.00, 90.00 degrees
Element x y z (fractional)
Si 0.000 0.000 0.000
Sb 0.000 0.000 0.500
Te 0.000 0.500 0.000
Te 0.500 0.000 0.000
H 0.500 0.500 0.500



# VPPtS2

An optimized crystal structure of VPPtS2 (PBE-GGA, the Alexandria database).

Properties
Uncorrected formation energy = 2.3 eV per formula unit
Volume = 18.076 A^3/atom
Electronic total energy = -5.30 eV/atom
N(E_F) = 0.99 states/eV per atom

Cell lengths 4.418, 4.418, 4.631 Å; angles 90.00, 90.00, 90.00 degrees
Element x y z (fractional)
V 0.000 0.000 0.000
P 0.000 0.000 0.500
Pt 0.500 0.500 0.500
S 0.000 0.500 0.000
S 0.500 0.000 0.000



# LaTcNi

An optimized crystal structure of LaTcNi (PBE-GGA, the Alexandria database).

Properties
Volume = 21.571 A^3/atom
Electronic total energy = -6.52 eV/atom
N(E_F) = 1.54 states/eV per atom

Cell lengths 4.506, 4.506, 4.506 Å; angles 60.00, 60.00, 60.00 degrees
Element x y z (fractional)
La 0.000 0.000 0.000
Tc 0.500 0.500 0.500
Ni 0.250 0.250 0.250



# LaZn3Pd2

An optimized crystal structure of LaZn3Pd2 (PBE-GGA, the Alexandria database).

Properties
Volume = 19.306 A^3/atom
Electronic total energy = -3.72 eV/atom
N(E_F) = 0.41 states/eV per atom

Cell lengths 8.172, 8.172, 7.948 Å; angles 116.92, 116.92, 29.60 degrees
Element x y z (fractional)
La 0.142 0.142 0.059
La 0.858 0.858 0.941
Zn 0.037 0.037 0.384
Zn 0.311 0.311 0.533
Zn 0.402 0.402 0.321
Zn 0.598 0.598 0.679
Zn 0.689 0.689 0.467
Zn 0.963 0.963 0.616
Pd 0.203 0.203 0.696
Pd 0.481 0.481 0.818
Pd 0.519 0.519 0.182
Pd 0.797 0.797 0.304



# CaBi2Pd

An optimized crystal structure of CaBi2Pd (PBE-GGA, the Alexandria database).

Properties
Volume = 30.045 A^3/atom
Electronic total energy = -3.87 eV/atom
N(E_F) = 0.49 states/eV per atom

Cell lengths 10.467, 10.467, 10.467 Å; angles 20.25, 20.25, 20.25 degrees
Element x y z (fractional)
Ca 0.000 0.000 0.000
Bi 0.105 0.105 0.105
Bi 0.895 0.895 0.895
Pd 0.500 0.500 0.500



# Nb2FeCu2

An optimized crystal structure of Nb2FeCu2 (PBE-GGA, the Alexandria database).

Properties
Volume = 14.577 A^3/atom
Electronic total energy = -7.06 eV/atom
N(E_F) = 1.09 states/eV per atom

Cell lengths 6.532, 6.532, 3.416 Å; angles 90.00, 90.00, 90.00 degrees
Element x y z (fractional)
Nb 0.177 0.323 0.000
Nb 0.323 0.823 0.000
Nb 0.677 0.177 0.000
Nb 0.823 0.677 0.000
Fe 0.000 0.000 0.500
Fe 0.500 0.500 0.500
Cu 0.128 0.628 0.500
Cu 0.372 0.128 0.500
Cu 0.628 0.872 0.500
Cu 0.872 0.372 0.500



# Ac3LaPr4

An optimized crystal structure of Ac3LaPr4 (PBE-GGA, the Alexandria database).

Properties
Volume = 40.365 A^3/atom
Electronic total energy = -4.34 eV/atom
N(E_F) = 1.48 states/eV per atom

Cell lengths 13.558, 13.558, 6.556 Å; angles 95.67, 95.67, 15.62 degrees
Element x y z (fractional)
Ac 0.000 0.000 0.000
Ac 0.147 0.147 0.235
Ac 0.853 0.853 0.765
La 0.500 0.500 0.500
Pr 0.106 0.106 0.720
Pr 0.282 0.282 0.260
Pr 0.718 0.718 0.740
Pr 0.894 0.894 0.280



# PmTm5Pd4

An optimized crystal structure of PmTm5Pd4 (PBE-GGA, the Alexandria database).

Properties
Volume = 23.091 A^3/atom
Electronic total energy = -5.53 eV/atom
N(E_F) = 0.87 states/eV per atom

Cell lengths 3.481, 3.481, 19.056 Å; angles 90.00, 90.00, 90.00 degrees
Element x y z (fractional)
Pm 0.000 0.000 0.000
Tm 0.500 0.500 0.140
Tm 0.500 0.500 0.319
Tm 0.500 0.500 0.500
Tm 0.500 0.500 0.681
Tm 0.500 0.500 0.860
Pd 0.000 0.000 0.227
Pd 0.000 0.000 0.409
Pd 0.000 0.000 0.591
Pd 0.000 0.000 0.773



# CeNd2CdC

An optimized crystal structure of CeNd2CdC (PBE-GGA, the Alexandria database).

Properties
Volume = 26.285 A^3/atom
Electronic total energy = -5.28 eV/atom
N(E_F) = 1.62 states/eV per atom

Cell lengths 5.195, 5.195, 4.869 Å; angles 90.00, 90.00, 90.00 degrees
Element x y z (fractional)
Ce 0.000 0.000 0.000
Nd 0.000 0.500 0.500
Nd 0.500 0.000 0.500
Cd 0.500 0.500 0.000
C 0.000 0.000 0.500



# AlCdBr3

An optimized crystal structure of AlCdBr3 (PBE-GGA, the Alexandria database).

Properties
Uncorrected formation energy = -2.5 eV per formula unit
Volume = 27.932 A^3/atom
Electronic total energy = -2.43 eV/atom
N(E_F) = 0.38 states/eV per atom

Cell lengths 5.188, 5.188, 5.188 Å; angles 90.00, 90.00, 90.00 degrees
Element x y z (fractional)
Al 0.000 0.000 0.000
Cd 0.500 0.500 0.500
Br 0.000 0.000 0.500
Br 0.000 0.500 0.000
Br 0.500 0.000 0.000



# TlNi2Se

An optimized crystal structure of TlNi2Se (PBE-GGA, the Alexandria database).

Properties
Uncorrected formation energy = 1.3 eV per formula unit
Volume = 16.213 A^3/atom
Electronic total energy = -4.03 eV/atom
N(E_F) = 1.70 states/eV per atom

Cell lengths 4.510, 4.510, 4.510 Å; angles 60.00, 60.00, 60.00 degrees
Element x y z (fractional)
Tl 0.000 0.000 0.000
Ni 0.250 0.250 0.250
Ni 0.750 0.750 0.750
Se 0.500 0.500 0.500



# HfNiSn2

An optimized crystal structure of HfNiSn2 (PBE-GGA, the Alexandria database).

Properties
Volume = 21.877 A^3/atom
Electronic total energy = -5.76 eV/atom
N(E_F) = 0.91 states/eV per atom

Cell lengths 10.121, 10.121, 10.121 Å; angles 155.73, 155.73, 34.60 degrees
Element x y z (fractional)
Hf 0.000 0.000 0.000
Hf 0.750 0.250 0.500
Ni 0.250 0.750 0.500
Ni 0.500 0.500 0.000
Sn 0.144 0.625 0.019
Sn 0.375 0.394 0.519
Sn 0.606 0.125 0.981
Sn 0.875 0.856 0.481



# HoZr2Ga9

An optimized crystal structure of HoZr2Ga9 (PBE-GGA, the Alexandria database).

Properties
Volume = 18.164 A^3/atom
Electronic total energy = -4.56 eV/atom
N(E_F) = 0.44 states/eV per atom

Cell lengths 4.189, 4.189, 12.422 Å; angles 90.00, 90.00, 90.00 degrees
Element x y z (fractional)
Ho 0.000 0.000 0.000
Zr 0.000 0.000 0.339
Zr 0.000 0.000 0.661
Ga 0.000 0.500 0.173
Ga 0.000 0.500 0.500
Ga 0.000 0.500 0.827
Ga 0.500 0.000 0.173
Ga 0.500 0.000 0.500
Ga 0.500 0.000 0.827
Ga 0.500 0.500 0.000
Ga 0.500 0.500 0.335
Ga 0.500 0.500 0.665



# Li2TaTl

An optimized crystal structure of Li2TaTl (PBE-GGA, the Alexandria database).

Properties
Volume = 18.623 A^3/atom
Electronic total energy = -4.13 eV/atom
N(E_F) = 0.65 states/eV per atom

Cell lengths 2.877, 4.357, 6.083 Å; angles 90.00, 102.32, 90.00 degrees
Element x y z (fractional)
Li 0.000 0.000 0.000
Li 0.335 0.500 0.222
Ta 0.915 0.000 0.485
Tl 0.506 0.500 0.746



# AcAl6Ag6

An optimized crystal structure of AcAl6Ag6 (PBE-GGA, the Alexandria database).

Properties
Volume = 18.780 A^3/atom
Electronic total energy = -3.53 eV/atom
N(E_F) = 0.38 states/eV per atom

Cell lengths 7.225, 7.225, 7.225 Å; angles 135.63, 99.67, 96.73 degrees
Element x y z (fractional)
Ac 0.000 0.000 0.000
Al 0.000 0.000 0.500
Al 0.000 0.500 0.000
Al 0.234 0.500 0.734
Al 0.500 0.000 0.000
Al 0.500 0.500 0.500
Al 0.766 0.500 0.266
Ag 0.208 0.708 0.500
Ag 0.345 0.000 0.345
Ag 0.350 0.350 0.000
Ag 0.650 0.650 0.000
Ag 0.655 0.000 0.655
Ag 0.792 0.292 0.500



# HRh2BrF

An optimized crystal structure of HRh2BrF (PBE-GGA, the Alexandria database).

Properties
Volume = 18.936 A^3/atom
Electronic total energy = -3.25 eV/atom
N(E_F) = 1.04 states/eV per atom

Cell lengths 4.639, 4.639, 4.401 Å; angles 90.00, 90.00, 90.00 degrees
Element x y z (fractional)
H 0.000 0.000 0.000
Rh 0.000 0.500 0.500
Rh 0.500 0.000 0.500
Br 0.500 0.500 0.500
F 0.500 0.500 0.000



# LiCeTeS

An optimized crystal structure of LiCeTeS (PBE-GGA, the Alexandria database).

Properties
Uncorrected formation energy = -5.7 eV per formula unit
Volume = 25.647 A^3/atom
Electronic total energy = -5.20 eV/atom
N(E_F) = 1.87 states/eV per atom

Cell lengths 4.576, 4.576, 9.798 Å; angles 90.00, 90.00, 90.00 degrees
Element x y z (fractional)
Li 0.250 0.750 0.000
Li 0.750 0.250 0.000
Ce 0.250 0.250 0.343
Ce 0.750 0.750 0.657
Te 0.250 0.250 0.832
Te 0.750 0.750 0.168
S 0.250 0.750 0.500
S 0.750 0.250 0.500



# Sc6TlPb2C

An optimized crystal structure of Sc6TlPb2C (PBE-GGA, the Alexandria database).

Properties
Volume = 24.751 A^3/atom
Electronic total energy = -5.79 eV/atom
N(E_F) = 0.44 states/eV per atom

Cell lengths 5.036, 5.036, 9.759 Å; angles 90.00, 90.00, 90.00 degrees
Element x y z (fractional)
Sc 0.000 0.000 0.219
Sc 0.000 0.000 0.781
Sc 0.000 0.500 0.000
Sc 0.000 0.500 0.500
Sc 0.500 0.000 0.000
Sc 0.500 0.000 0.500
Tl 0.000 0.000 0.500
Pb 0.500 0.500 0.242
Pb 0.500 0.500 0.758
C 0.000 0.000 0.000



# ReMo

An optimized crystal structure of ReMo (PBE-GGA, the Alexandria database).

Properties
Volume = 15.652 A^3/atom
Electronic total energy = -11.46 eV/atom
N(E_F) = 1.10 states/eV per atom

Cell lengths 2.757, 2.757, 8.239 Å; angles 90.00, 90.00, 90.00 degrees
Element x y z (fractional)
Re 0.250 0.250 0.112
Re 0.750 0.750 0.888
Mo 0.250 0.250 0.636
Mo 0.750 0.750 0.364



# Tm6Ge2AsSe3

An optimized crystal structure of Tm6Ge2AsSe3 (PBE-GGA, the Alexandria database).

Properties
Uncorrected formation energy = -17.6 eV per formula unit
Volume = 23.862 A^3/atom
Electronic total energy = -5.73 eV/atom
N(E_F) = 0.16 states/eV per atom

Cell lengths 9.100, 9.100, 8.150 Å; angles 102.92, 102.92, 25.85 degrees
Element x y z (fractional)
Tm 0.005 0.005 0.245
Tm 0.330 0.330 0.425
Tm 0.335 0.335 0.906
Tm 0.665 0.665 0.094
Tm 0.670 0.670 0.575
Tm 0.995 0.995 0.755
Ge 0.167 0.167 0.333
Ge 0.833 0.833 0.667
As 0.500 0.500 0.000
Se 0.165 0.165 0.834
Se 0.500 0.500 0.500
Se 0.835 0.835 0.166



# NaTbPb2

An optimized crystal structure of NaTbPb2 (PBE-GGA, the Alexandria database).

Properties
Volume = 32.778 A^3/atom
Electronic total energy = -3.40 eV/atom
N(E_F) = 0.96 states/eV per atom

Cell lengths 6.923, 6.923, 6.923 Å; angles 41.40, 41.40, 41.40 degrees
Element x y z (fractional)
Na 0.000 0.000 0.000
Tb 0.187 0.187 0.187
Pb 0.593 0.593 0.593
Pb 0.765 0.765 0.765



# Er3Sn2

An optimized crystal structure of Er3Sn2 (PBE-GGA, the Alexandria database).

Properties
Volume = 29.435 A^3/atom
Electronic total energy = -4.91 eV/atom
N(E_F) = 0.47 states/eV per atom

Cell lengths 11.870, 4.369, 11.351 Å; angles 90.00, 90.00, 90.00 degrees
Element x y z (fractional)
Er 0.053 0.250 0.131
Er 0.128 0.750 0.560
Er 0.226 0.250 0.792
Er 0.274 0.750 0.292
Er 0.372 0.250 0.060
Er 0.447 0.750 0.631
Er 0.553 0.250 0.369
Er 0.628 0.750 0.940
Er 0.726 0.250 0.708
Er 0.774 0.750 0.208
Er 0.872 0.250 0.440
Er 0.947 0.750 0.869
Sn 0.011 0.750 0.317
Sn 0.189 0.750 0.994
Sn 0.311 0.250 0.494
Sn 0.489 0.250 0.817
Sn 0.511 0.750 0.183
Sn 0.689 0.750 0.506
Sn 0.811 0.250 0.006
Sn 0.989 0.250 0.683



# BaCuRu2

An optimized crystal structure of BaCuRu2 (PBE-GGA, the Alexandria database).

Properties
Volume = 18.979 A^3/atom
Electronic total energy = -5.16 eV/atom
N(E_F) = 1.15 states/eV per atom

Cell lengths 3.099, 4.906, 4.994 Å; angles 90.00, 90.00, 90.00 degrees
Element x y z (fractional)
Ba 0.000 0.000 0.000
Cu 0.500 0.500 0.000
Ru 0.000 0.500 0.500
Ru 0.500 0.000 0.500



# BaMn2Al

An optimized crystal structure of BaMn2Al (PBE-GGA, the Alexandria database).

Properties
Volume = 24.974 A^3/atom
Electronic total energy = -5.87 eV/atom
N(E_F) = 0.99 states/eV per atom

Cell lengths 6.586, 6.586, 6.586 Å; angles 38.59, 38.59, 38.59 degrees
Element x y z (fractional)
Ba 0.000 0.000 0.000
Mn 0.489 0.489 0.489
Mn 0.810 0.810 0.810
Al 0.188 0.188 0.188



# Mg2Ag

An optimized crystal structure of Mg2Ag (PBE-GGA, the Alexandria database).

Properties
Volume = 21.263 A^3/atom
Electronic total energy = -2.09 eV/atom
N(E_F) = 0.32 states/eV per atom

Cell lengths 13.006, 13.006, 13.006 Å; angles 166.06, 166.06, 19.76 degrees
Element x y z (fractional)
Mg 0.303 0.553 0.750
Mg 0.447 0.697 0.750
Mg 0.553 0.303 0.250
Mg 0.697 0.447 0.250
Ag 0.125 0.875 0.250
Ag 0.875 0.125 0.750